# 1
Below is an optimized crystal structure of TbGeRh, with properties calculated at the GGA-PBE level.

a = 10.323 Å, b = 4.250 Å, c = 6.952 Å
α = 90.00°, β = 129.71°, γ = 90.00°
Space group C2/m (No. 12)
Unique sites:
1 Tb 0.058 0.000 0.295 [4 per cell]
2 Ge 0.161 0.500 0.721 [4 per cell]
3 Rh 0.180 0.500 0.106 [4 per cell]

Results
- energy of formation (eV/atom) = -0.87
- magnetic moment (μB/f.u.) = 0.0


# 2
Below is an optimized crystal structure of TbGe4Rh6, with properties calculated at the GGA-PBE level.

a = 7.2253 Å, b = 7.2253 Å, c = 3.8393 Å
α = 90.00°, β = 90.00°, γ = 120.00°
Space group P-6m2 (No. 187)
Unique sites:
1 Tb 0.0000 0.0000 0.0000 [1 per cell]
2 Ge 0.3333 0.6667 0.0000 [1 per cell]
3 Ge 0.3935 0.1967 0.5000 [3 per cell]
4 Rh 0.1985 0.3969 0.5000 [3 per cell]
5 Rh 0.5334 0.0668 0.0000 [3 per cell]

Results
- energy of formation (eV/atom) = -0.75
- magnetic moment (μB/f.u.) = 0.0
- energy above the most stable polymorph in this dataset (eV/atom) = 0.0000


# 3
Below is an optimized crystal structure of TbGe4Rh6, with properties calculated at the GGA-PBE level.

a = 5.203 Å, b = 5.203 Å, c = 13.237 Å
α = 90.00°, β = 90.00°, γ = 90.00°
Space group I-42m (No. 121)
Unique sites:
1 Tb 0.000 0.000 0.000 [2 per cell]
2 Ge 0.193 0.193 0.637 [8 per cell]
3 Rh 0.000 0.500 0.000 [4 per cell]
4 Rh 0.224 0.224 0.820 [8 per cell]

Results
- energy of formation (eV/atom) = -0.44
- magnetic moment (μB/f.u.) = 0.0
- energy above the most stable polymorph in this dataset (eV/atom) = 0.3072


- What is the magnetic moment in the second record?
  0.0 μB/f.u.